First-principles (GGA-PBE) data for a relaxed LaMgSnPd3 crystal, as listed in Alexandria.

abc: 7.114 7.114 6.710
angles: 90.00 90.00 130.56
Atoms (fractional coordinates):
1 La 0.167 0.833 0.750
2 La 0.833 0.167 0.250
3 Mg 0.417 0.583 0.750
4 Mg 0.583 0.417 0.250
5 Sn 0.140 0.860 0.250
6 Sn 0.860 0.140 0.750
7 Pd 0.234 0.234 0.000
8 Pd 0.234 0.234 0.500
9 Pd 0.351 0.649 0.250
10 Pd 0.649 0.351 0.750
11 Pd 0.766 0.766 0.000
12 Pd 0.766 0.766 0.500

Calculated values
- energy of formation (kcal/mol of atoms) = -13.4
- space group = Cmcm (63)

First-principles (GGA-PBE) data for a relaxed La3MgSn6Pd2 crystal, as listed in Alexandria.

abc: 6.471 6.471 9.281
angles: 90.00 90.00 120.00
Atoms (fractional coordinates):
1 La 0.000 0.000 0.000
2 La 0.333 0.667 0.600
3 La 0.667 0.333 0.400
4 Mg 0.000 0.000 0.500
5 Sn 0.179 0.358 0.272
6 Sn 0.179 0.821 0.272
7 Sn 0.358 0.179 0.728
8 Sn 0.642 0.821 0.272
9 Sn 0.821 0.179 0.728
10 Sn 0.821 0.642 0.728
11 Pd 0.333 0.667 0.041
12 Pd 0.667 0.333 0.959

Calculated values
- energy of formation (kcal/mol of atoms) = -9.1
- space group = P-3m1 (164)

First-principles (GGA-PBE) data for a relaxed LaMgSn2Pd5 crystal, as listed in Alexandria.

abc: 4.276 4.276 10.091
angles: 90.00 90.00 90.00
Atoms (fractional coordinates):
1 La 0.000 0.000 0.000
2 Mg 0.000 0.000 0.500
3 Sn 0.500 0.500 0.364
4 Sn 0.500 0.500 0.636
5 Pd 0.000 0.500 0.209
6 Pd 0.000 0.500 0.791
7 Pd 0.500 0.000 0.209
8 Pd 0.500 0.000 0.791
9 Pd 0.500 0.500 0.000

Calculated values
- energy of formation (kcal/mol of atoms) = -11.4
- space group = P4/mmm (123)

First-principles (GGA-PBE) data for a relaxed La2MgSnPd6 crystal, as listed in Alexandria.

abc: 5.703 6.615 6.736
angles: 72.77 65.05 64.61
Atoms (fractional coordinates):
1 La 0.003 0.246 0.246
2 La 0.997 0.754 0.754
3 Mg 0.500 0.000 0.500
4 Sn 0.500 0.500 0.000
5 Pd 0.004 0.192 0.803
6 Pd 0.308 0.438 0.445
7 Pd 0.499 0.192 0.803
8 Pd 0.501 0.808 0.197
9 Pd 0.692 0.562 0.555
10 Pd 0.996 0.808 0.197

Calculated values
- energy of formation (kcal/mol of atoms) = -15.0
- space group = P-1 (2)

First-principles (GGA-PBE) data for a relaxed LaMg2Sn2Pd2 crystal, as listed in Alexandria.

abc: 8.957 8.957 8.957
angles: 29.63 29.63 29.63
Atoms (fractional coordinates):
1 La 0.000 0.000 0.000
2 Mg 0.139 0.139 0.139
3 Mg 0.861 0.861 0.861
4 Sn 0.257 0.257 0.257
5 Sn 0.743 0.743 0.743
6 Pd 0.439 0.439 0.439
7 Pd 0.561 0.561 0.561

Calculated values
- energy of formation (kcal/mol of atoms) = -15.3
- space group = R-3m (166)

First-principles (GGA-PBE) data for a relaxed SrLaMgPd2 crystal, as listed in Alexandria.

abc: 5.291 5.291 5.902
angles: 90.00 90.00 90.00
Atoms (fractional coordinates):
1 Sr 0.000 0.000 0.000
2 La 0.500 0.500 0.500
3 Mg 0.500 0.500 0.000
4 Pd 0.000 0.500 0.500
5 Pd 0.500 0.000 0.500

Calculated values
- energy of formation (kcal/mol of atoms) = 3.1
- space group = P4/mmm (123)

First-principles (GGA-PBE) data for a relaxed LaMgTlPd crystal, as listed in Alexandria.

abc: 5.157 5.157 5.157
angles: 60.00 60.00 60.00
Atoms (fractional coordinates):
1 La 0.000 0.000 0.000
2 Mg 0.500 0.500 0.500
3 Tl 0.250 0.250 0.250
4 Pd 0.750 0.750 0.750

Calculated values
- energy of formation (kcal/mol of atoms) = -10.9
- space group = F-43m (216)

First-principles (GGA-PBE) data for a relaxed LaTm2MgPd4 crystal, as listed in Alexandria.

abc: 8.906 8.906 8.906
angles: 31.25 31.25 31.25
Atoms (fractional coordinates):
1 La 0.000 0.000 0.000
2 Tm 0.240 0.240 0.240
3 Tm 0.760 0.760 0.760
4 Mg 0.500 0.500 0.500
5 Pd 0.128 0.128 0.128
6 Pd 0.392 0.392 0.392
7 Pd 0.608 0.608 0.608
8 Pd 0.872 0.872 0.872

Calculated values
- energy of formation (kcal/mol of atoms) = -18.9
- space group = R-3m (166)